# PBE NaAl4Cu, optimized geometry
data_NaAl4Cu
_chemical_formula_sum 'Na2 Al8 Cu2'
_cell_length_a 7.799
_cell_length_b 3.979
_cell_length_c 6.913
_cell_angle_alpha 90.00
_cell_angle_beta 90.00
_cell_angle_gamma 90.00
_space_group_name_H-M_alt 'P m m a'
_space_group_IT_number 51
_space_group_name_Hall '-P 2a 2a'
loop_
_atom_site_label
_atom_site_type_symbol
_atom_site_fract_x
_atom_site_fract_y
_atom_site_fract_z
_atom_site_occupancy
Na1 Na 0.250 0.000 0.102 1
Al1 Al 0.000 0.000 0.500 1
Al2 Al 0.057 0.500 0.802 1
Al3 Al 0.250 0.500 0.438 1
Cu1 Cu 0.250 0.000 0.697 1
# Calculated total energy: -3.435 eV/atom
# Total moment: 0.000 μB/f.u.
# Energy relative to the elements: -0.0374 eV/atom